Here is an optimized crystal structure of Cd2TePd2 from Alexandria via LeMat-Bulk. Energies are from PBE.

Results
Symmetry: P4/mbm (127)
Total magnetic moment, μB/f.u.: 0.00
Uncorrected energy, eV for the cell shown: -33.40

Lattice parameters (Å, degrees): 7.1953 7.1953 3.9095 90.00 90.00 90.00
Fractional positions:
Pd 0.8544 0.6456 0.0000
Cd 0.1506 0.6506 0.5000
Cd 0.3494 0.1506 0.5000
Cd 0.8494 0.3494 0.5000
Pd 0.6456 0.1456 0.0000
Te 0.5000 0.5000 0.0000
Cd 0.6506 0.8494 0.5000
Pd 0.1456 0.3544 0.0000
Pd 0.3544 0.8544 0.0000
Te 0.0000 0.0000 0.0000